Entry 1
# PBE TaSb2TeN, relaxed
data_TaSb2TeN
_cell_length_a 5.3245
_cell_length_b 5.3245
_cell_length_c 5.2442
_cell_angle_alpha 90.00
_cell_angle_beta 90.00
_cell_angle_gamma 90.00
_symmetry_space_group_name_H-M 'P 4/m m m'
_symmetry_Int_Tables_number 123
_symmetry_space_group_name_Hall '-P 4 2'
loop_
_atom_site_label
_atom_site_type_symbol
_atom_site_fract_x
_atom_site_fract_y
_atom_site_fract_z
Ta1 Ta 0.0000 0.0000 0.0000
Sb1 Sb 0.0000 0.5000 0.0000
Te1 Te 0.0000 0.0000 0.5000
N1 N 0.5000 0.5000 0.5000
# D(E_F): 12.4 states/eV per cell



Entry 2
# PBE TaSb2TeN, relaxed
data_TaSb2TeN
_cell_length_a 4.6796
_cell_length_b 4.6796
_cell_length_c 4.5695
_cell_angle_alpha 90.00
_cell_angle_beta 90.00
_cell_angle_gamma 90.00
_symmetry_space_group_name_H-M 'P 4/m m m'
_symmetry_Int_Tables_number 123
_symmetry_space_group_name_Hall '-P 4 2'
loop_
_atom_site_label
_atom_site_type_symbol
_atom_site_fract_x
_atom_site_fract_y
_atom_site_fract_z
Ta1 Ta 0.0000 0.0000 0.0000
Sb1 Sb 0.0000 0.5000 0.5000
Te1 Te 0.5000 0.5000 0.0000
N1 N 0.5000 0.5000 0.5000
# D(E_F): 3.6 states/eV per cell



The energetic minimum among the shown structures is entry 2; the next structure lies 67.8 kJ/mol of atoms above.